# FeCuSiAu

A relaxed FeCuSiAu crystal (PBE-GGA, the Open Quantum Materials Database).

Structure (POSCAR):
```
FeCuSiAu
1.0
0.000 2.996 2.996
2.996 0.000 2.996
2.996 2.996 0.000
Au Cu Fe Si
1 1 1 1
direct
0.250 0.250 0.250
0.500 0.500 0.500
0.750 0.750 0.750
0.000 0.000 0.000
```

Summary:
* ρ: 10.63 g/cm³
* crystal system: cubic
* polymorph energy (0 for the lowest one): 0.000 eV/atom
* symmetry: F-43m (216)